Density functional theory data (GGA-PBE) for CePrRhI after structural relaxation.

**Theoretical density**: 7.0 Mg/m³
**Energy**: -5.787 eV per atom
**Fermi-level density of states**: 21.6 states/eV/cell

Geometry as POSCAR:
```
CePrRhI
1.0
4.129 0.000 0.000
-2.065 3.576 0.000
0.000 0.000 24.713
Ce Pr Rh I
3 3 3 3
Direct
0.000 0.000 0.000
0.333 0.667 0.667
0.667 0.333 0.333
0.000 0.000 0.792
0.333 0.667 0.459
0.667 0.333 0.125
0.000 0.000 0.391
0.333 0.667 0.057
0.667 0.333 0.724
0.000 0.000 0.563
0.333 0.667 0.230
0.667 0.333 0.896
```



Density functional theory data (GGA-PBE) for CePrSnI after structural relaxation.

**Theoretical density**: 7.2 Mg/m³
**Energy**: -4.771 eV per atom
**Fermi-level density of states**: 25.8 states/eV/cell

Geometry as POSCAR:
```
CePrSnI
1.0
7.849 0.000 0.000
0.000 7.849 0.000
0.000 0.000 7.849
Ce Pr Sn I
4 4 4 4
Direct
0.000 0.000 0.000
0.000 0.500 0.500
0.500 0.000 0.500
0.500 0.500 0.000
0.000 0.000 0.500
0.000 0.500 0.000
0.500 0.000 0.000
0.500 0.500 0.500
0.250 0.250 0.750
0.250 0.750 0.250
0.750 0.250 0.250
0.750 0.750 0.750
0.250 0.250 0.250
0.250 0.750 0.750
0.750 0.250 0.750
0.750 0.750 0.250
```



Density functional theory data (GGA-PBE) for CePrTcI after structural relaxation.

**Theoretical density**: 7.0 Mg/m³
**Energy**: -6.130 eV per atom
**Fermi-level density of states**: 6.4 states/eV/cell

Geometry as POSCAR:
```
CePrTcI
1.0
7.359 0.000 0.000
0.000 4.016 0.000
-2.722 0.000 8.122
Ce Pr Tc I
2 2 2 2
Direct
0.000 0.000 0.000
0.500 0.500 0.000
0.241 0.000 0.627
0.741 0.500 0.627
0.175 0.500 0.862
0.675 0.000 0.862
0.456 0.000 0.321
0.956 0.500 0.321
```



Density functional theory data (GGA-PBE) for Ce2PtI2 after structural relaxation.

**Theoretical density**: 6.5 Mg/m³
**Energy**: -5.376 eV per atom
**Fermi-level density of states**: 23.7 states/eV/cell

Geometry as POSCAR:
```
Ce2PtI2
1.0
7.324 0.000 0.000
0.000 4.226 0.000
-2.699 0.000 11.968
Ce Pt I
4 2 4
Direct
0.216 0.000 0.134
0.284 0.500 0.866
0.716 0.500 0.134
0.784 0.000 0.866
0.000 0.500 0.000
0.500 0.000 0.000
0.050 0.000 0.683
0.450 0.500 0.317
0.550 0.500 0.683
0.950 0.000 0.317
```



Density functional theory data (GGA-PBE) for CePtI after structural relaxation.

**Theoretical density**: 7.8 Mg/m³
**Energy**: -5.660 eV per atom
**Fermi-level density of states**: 25.1 states/eV/cell

Geometry as POSCAR:
```
CePtI
1.0
7.561 0.000 0.000
0.000 4.364 0.000
-2.563 0.000 11.996
Ce Pt I
4 4 4
Direct
0.055 0.000 0.163
0.445 0.500 0.837
0.555 0.500 0.163
0.945 0.000 0.837
0.152 0.500 0.956
0.348 0.000 0.044
0.652 0.000 0.956
0.848 0.500 0.044
0.218 0.000 0.660
0.282 0.500 0.340
0.718 0.500 0.660
0.782 0.000 0.340
```



Density functional theory data (GGA-PBE) for Ce7PtI12 after structural relaxation.

**Theoretical density**: 5.4 Mg/m³
**Energy**: -4.523 eV per atom
**Fermi-level density of states**: 55.3 states/eV/cell

Geometry as POSCAR:
```
Ce7PtI12
1.0
8.099 4.676 3.633
-8.099 4.676 3.633
0.000 -9.352 3.633
Ce Pt I
7 1 12
Direct
0.000 0.000 0.000
0.186 0.391 0.465
0.391 0.465 0.186
0.465 0.186 0.391
0.535 0.814 0.609
0.609 0.535 0.814
0.814 0.609 0.535
0.500 0.500 0.500
0.025 0.346 0.110
0.110 0.025 0.346
0.182 0.727 0.574
0.273 0.426 0.818
0.346 0.110 0.025
0.426 0.818 0.273
0.574 0.182 0.727
0.654 0.890 0.975
0.727 0.574 0.182
0.818 0.273 0.426
0.890 0.975 0.654
0.975 0.654 0.890
```



Density functional theory data (GGA-PBE) for CePtI6 after structural relaxation.

**Theoretical density**: 4.8 Mg/m³
**Energy**: -3.378 eV per atom
**Fermi-level density of states**: 16.1 states/eV/cell

Geometry as POSCAR:
```
CePtI6
1.0
9.149 0.000 0.000
0.000 12.906 0.000
-3.098 0.000 6.397
Ce Pt I
2 2 12
Direct
0.000 0.000 0.000
0.500 0.500 0.000
0.000 0.000 0.500
0.500 0.500 0.500
0.145 0.159 0.804
0.145 0.841 0.804
0.220 0.500 0.553
0.280 0.000 0.447
0.355 0.341 0.196
0.355 0.659 0.196
0.645 0.341 0.804
0.645 0.659 0.804
0.720 0.000 0.553
0.780 0.500 0.447
0.855 0.159 0.196
0.855 0.841 0.196
```



Density functional theory data (GGA-PBE) for Ce4PtI5 after structural relaxation.

**Theoretical density**: 6.3 Mg/m³
**Energy**: -4.901 eV per atom
**Fermi-level density of states**: 26.0 states/eV/cell

Geometry as POSCAR:
```
Ce4PtI5
1.0
9.776 -2.098 0.000
9.776 2.098 0.000
-1.956 0.000 8.970
Ce Pt I
4 1 5
Direct
0.000 0.000 0.208
0.000 0.000 0.792
0.344 0.344 0.928
0.656 0.656 0.072
0.500 0.500 0.000
0.167 0.167 0.343
0.171 0.171 0.809
0.500 0.500 0.500
0.829 0.829 0.191
0.833 0.833 0.657
```



Density functional theory data (GGA-PBE) for CePtI2 after structural relaxation.

**Theoretical density**: 7.4 Mg/m³
**Energy**: -4.029 eV per atom
**Fermi-level density of states**: 22.9 states/eV/cell

Geometry as POSCAR:
```
CePtI2
1.0
4.034 0.000 0.000
-2.017 3.494 0.000
0.000 0.000 28.244
Ce Pt I
3 3 6
Direct
0.000 0.000 0.000
0.333 0.667 0.667
0.667 0.333 0.333
0.000 0.000 0.500
0.333 0.667 0.167
0.667 0.333 0.833
0.000 0.000 0.410
0.000 0.000 0.590
0.333 0.667 0.077
0.333 0.667 0.257
0.667 0.333 0.743
0.667 0.333 0.923
```



Density functional theory data (GGA-PBE) for CePtI6 after structural relaxation.

**Theoretical density**: 4.8 Mg/m³
**Energy**: -3.382 eV per atom
**Fermi-level density of states**: 9.2 states/eV/cell

Geometry as POSCAR:
```
CePtI6
1.0
8.449 0.000 0.000
0.000 12.499 0.000
-0.485 0.000 7.194
Ce Pt I
2 2 12
Direct
0.000 0.000 0.000
0.500 0.500 0.000
0.000 0.000 0.500
0.500 0.500 0.500
0.131 0.155 0.711
0.131 0.845 0.711
0.180 0.500 0.805
0.320 0.000 0.195
0.369 0.345 0.289
0.369 0.655 0.289
0.631 0.345 0.711
0.631 0.655 0.711
0.680 0.000 0.805
0.820 0.500 0.195
0.869 0.155 0.289
0.869 0.845 0.289
```



Density functional theory data (GGA-PBE) for Ce8Ru3PtI4 after structural relaxation.

**Theoretical density**: 7.5 Mg/m³
**Energy**: -6.230 eV per atom
**Fermi-level density of states**: 45.2 states/eV/cell

Geometry as POSCAR:
```
Ce8Ru3PtI4
1.0
4.130 2.384 7.994
-4.130 2.384 7.994
0.000 -4.768 7.994
Ce Ru Pt I
8 3 1 4
Direct
0.218 0.734 0.734
0.229 0.229 0.229
0.266 0.266 0.782
0.266 0.782 0.266
0.734 0.218 0.734
0.734 0.734 0.218
0.771 0.771 0.771
0.782 0.266 0.266
0.000 0.000 0.500
0.000 0.500 0.000
0.500 0.000 0.000
0.500 0.500 0.500
0.000 0.000 0.000
0.000 0.500 0.500
0.500 0.000 0.500
0.500 0.500 0.000
```



Density functional theory data (GGA-PBE) for CeYPtI after structural relaxation.

**Theoretical density**: 7.7 Mg/m³
**Energy**: -6.049 eV per atom
**Fermi-level density of states**: 24.4 states/eV/cell

Geometry as POSCAR:
```
CeYPtI
1.0
4.126 0.000 0.000
-2.063 3.573 0.000
0.000 0.000 24.153
Ce Y Pt I
3 3 3 3
Direct
0.000 0.000 0.000
0.333 0.667 0.667
0.667 0.333 0.333
0.000 0.000 0.795
0.333 0.667 0.462
0.667 0.333 0.129
0.000 0.000 0.399
0.333 0.667 0.065
0.667 0.333 0.732
0.000 0.000 0.228
0.333 0.667 0.895
0.667 0.333 0.561
```



Density functional theory data (GGA-PBE) for CePu2I6 after structural relaxation.

**Theoretical density**: 5.9 Mg/m³
**Energy**: -6.005 eV per atom
**Fermi-level density of states**: 27.6 states/eV/cell

Geometry as POSCAR:
```
CePu2I6
1.0
10.196 -2.166 0.000
10.196 2.166 0.000
-3.359 0.000 8.927
Ce Pu I
1 2 6
Direct
0.000 0.000 0.000
0.335 0.335 0.670
0.665 0.665 0.330
0.167 0.167 0.088
0.169 0.169 0.575
0.500 0.500 0.249
0.500 0.500 0.751
0.831 0.831 0.425
0.833 0.833 0.912
```



Density functional theory data (GGA-PBE) for CePu3I8 after structural relaxation.

**Theoretical density**: 6.0 Mg/m³
**Energy**: -6.225 eV per atom
**Fermi-level density of states**: 37.9 states/eV/cell

Geometry as POSCAR:
```
CePu3I8
1.0
7.511 -4.337 0.000
7.511 4.337 0.000
-5.068 0.000 8.060
Ce Pu I
1 3 8
Direct
0.000 0.000 0.000
0.000 0.500 0.000
0.500 0.000 0.000
0.500 0.500 0.000
0.251 0.251 0.245
0.251 0.746 0.245
0.252 0.252 0.760
0.254 0.749 0.755
0.746 0.251 0.245
0.748 0.748 0.240
0.749 0.254 0.755
0.749 0.749 0.755
```



Density functional theory data (GGA-PBE) for Ce2PuI after structural relaxation.

**Theoretical density**: 10.8 Mg/m³
**Energy**: -7.105 eV per atom
**Fermi-level density of states**: 28.8 states/eV/cell

Geometry as POSCAR:
```
Ce2PuI
1.0
3.779 0.000 0.000
-1.889 3.273 0.000
0.000 0.000 24.231
Ce Pu I
6 3 3
Direct
0.000 0.000 0.228
0.000 0.000 0.772
0.333 0.667 0.438
0.333 0.667 0.895
0.667 0.333 0.105
0.667 0.333 0.562
0.000 0.000 0.500
0.333 0.667 0.167
0.667 0.333 0.833
0.000 0.000 0.000
0.333 0.667 0.667
0.667 0.333 0.333
```



Density functional theory data (GGA-PBE) for CePuI4 after structural relaxation.

**Theoretical density**: 6.0 Mg/m³
**Energy**: -5.552 eV per atom
**Fermi-level density of states**: 36.1 states/eV/cell

Geometry as POSCAR:
```
CePuI4
1.0
-4.428 4.465 6.290
4.428 -4.465 6.290
4.428 4.465 -6.290
Ce Pu I
2 2 8
Direct
0.000 0.000 0.000
0.500 0.000 0.500
0.500 0.000 0.000
0.500 0.500 0.500
0.239 0.745 0.494
0.247 0.258 0.512
0.247 0.735 0.988
0.249 0.255 0.994
0.751 0.745 0.006
0.753 0.265 0.012
0.753 0.742 0.488
0.761 0.255 0.506
```



Density functional theory data (GGA-PBE) for Ce2PuI8 after structural relaxation.

**Theoretical density**: 5.0 Mg/m³
**Energy**: -4.774 eV per atom
**Fermi-level density of states**: 28.4 states/eV/cell

Geometry as POSCAR:
```
Ce2PuI8
1.0
11.161 -2.153 0.000
11.161 2.153 0.000
-0.200 0.000 10.693
Ce Pu I
2 1 8
Direct
0.155 0.155 0.281
0.845 0.845 0.719
0.500 0.500 0.000
0.001 0.001 0.787
0.238 0.238 0.690
0.359 0.359 0.955
0.401 0.401 0.538
0.599 0.599 0.462
0.641 0.641 0.045
0.762 0.762 0.310
0.999 0.999 0.213
```



Density functional theory data (GGA-PBE) for Ce3PuI8 after structural relaxation.

**Theoretical density**: 5.4 Mg/m³
**Energy**: -4.883 eV per atom
**Fermi-level density of states**: 37.6 states/eV/cell

Geometry as POSCAR:
```
Ce3PuI8
1.0
7.449 -4.320 0.000
7.449 4.320 0.000
-5.023 0.000 8.029
Ce Pu I
3 1 8
Direct
0.000 0.000 0.000
0.000 0.500 0.000
0.500 0.000 0.000
0.500 0.500 0.000
0.250 0.250 0.750
0.250 0.746 0.750
0.253 0.253 0.255
0.254 0.750 0.250
0.746 0.250 0.750
0.747 0.747 0.745
0.750 0.254 0.250
0.750 0.750 0.250
```



Density functional theory data (GGA-PBE) for CePuI5 after structural relaxation.

**Theoretical density**: 5.4 Mg/m³
**Energy**: -5.221 eV per atom
**Fermi-level density of states**: 46.1 states/eV/cell

Geometry as POSCAR:
```
CePuI5
1.0
9.409 0.000 0.000
0.000 4.383 0.000
-1.233 0.000 15.151
Ce Pu I
2 2 10
Direct
0.078 0.250 0.154
0.922 0.750 0.846
0.408 0.750 0.361
0.592 0.250 0.639
0.137 0.250 0.789
0.152 0.250 0.370
0.183 0.750 0.018
0.356 0.750 0.570
0.426 0.250 0.199
0.574 0.750 0.801
0.644 0.250 0.430
0.817 0.250 0.982
0.848 0.750 0.630
0.863 0.750 0.211
```



Density functional theory data (GGA-PBE) for CePu2I8 after structural relaxation.

**Theoretical density**: 4.8 Mg/m³
**Energy**: -5.354 eV per atom
**Fermi-level density of states**: 35.9 states/eV/cell

Geometry as POSCAR:
```
CePu2I8
1.0
7.631 -4.852 0.000
7.631 4.852 0.000
-3.496 0.000 7.742
Ce Pu I
1 2 8
Direct
0.000 0.000 0.000
0.124 0.124 0.553
0.876 0.876 0.447
0.175 0.755 0.257
0.212 0.212 0.273
0.245 0.825 0.743
0.322 0.322 0.823
0.678 0.678 0.177
0.755 0.175 0.257
0.788 0.788 0.727
0.825 0.245 0.743
```



Density functional theory data (GGA-PBE) for Ce2PuI after structural relaxation.

**Theoretical density**: 9.6 Mg/m³
**Energy**: -7.125 eV per atom
**Fermi-level density of states**: 10.6 states/eV/cell

Geometry as POSCAR:
```
Ce2PuI
1.0
3.976 0.000 0.000
0.000 3.976 0.000
0.000 0.000 7.157
Ce Pu I
2 1 1
Direct
0.000 0.000 0.237
0.000 0.000 0.763
0.500 0.500 0.000
0.500 0.500 0.500
```



Density functional theory data (GGA-PBE) for RbCePuI6 after structural relaxation.

**Theoretical density**: 4.3 Mg/m³
**Energy**: -4.683 eV per atom
**Fermi-level density of states**: 53.1 states/eV/cell

Geometry as POSCAR:
```
RbCePuI6
1.0
8.231 0.000 0.000
-4.116 7.128 0.000
0.000 0.000 16.262
Rb Ce Pu I
2 2 2 12
Direct
0.000 0.000 0.000
0.000 0.000 0.500
0.333 0.667 0.250
0.667 0.333 0.750
0.333 0.667 0.750
0.667 0.333 0.250
0.001 0.370 0.136
0.001 0.630 0.364
0.370 0.001 0.636
0.370 0.370 0.364
0.370 0.370 0.864
0.370 0.999 0.136
0.630 0.001 0.864
0.630 0.630 0.136
0.630 0.630 0.636
0.630 0.999 0.364
0.999 0.370 0.636
0.999 0.630 0.864
```



Density functional theory data (GGA-PBE) for RbCeI6 after structural relaxation.

**Theoretical density**: 3.8 Mg/m³
**Energy**: -3.051 eV per atom
**Fermi-level density of states**: 4.3 states/eV/cell

Geometry as POSCAR:
```
RbCeI6
1.0
6.212 -5.708 0.000
6.212 5.708 0.000
-2.011 0.000 12.122
Rb Ce I
2 2 12
Direct
0.027 0.973 0.750
0.973 0.027 0.250
0.000 0.500 0.000
0.500 0.000 0.500
0.158 0.534 0.800
0.183 0.190 0.522
0.190 0.183 0.022
0.291 0.681 0.116
0.319 0.709 0.384
0.466 0.842 0.700
0.534 0.158 0.300
0.681 0.291 0.616
0.709 0.319 0.884
0.810 0.817 0.978
0.817 0.810 0.478
0.842 0.466 0.200
```